Record 1
VASP calculation (GGA-PBE) on a relaxed structure of MoI2.

Calculated values
* total moment: 9.805 μB/cell
* relative energy among the computed polymorphs: 2.410 eV/atom
* calculated total energy: -2.61 eV/atom

a b c (Å): 6.3037 6.3037 6.3037
angles (deg): 60.00 60.00 60.00
Site moments in Bohr magnetons follow the coordinates.
Element x y z (fractional)
Mo: 0.0000 0.0000 0.0000  3.83
Mo: 0.2500 0.2500 0.2500  3.83
I: 0.6250 0.6250 0.6250  0.02
I: 0.6250 0.1250 0.6250  0.00
I: 0.6250 0.6250 0.1250  0.01
I: 0.1250 0.6250 0.6250  0.05

=====

Record 2
VASP calculation (GGA-PBE) on a relaxed structure of Ho2ErIn3Ag3.

Calculated values
* total moment: 0.004 μB/cell
* calculated total energy: -3.80 eV/atom

a b c (Å): 3.8944 7.8263 7.8263
angles (deg): 119.97 90.00 90.00
Element x y z (fractional)
Ag: 0.5000 0.3336 0.6660
Ag: 0.0000 0.0004 0.0004
Ag: 0.5000 0.6660 0.3336
Ho: 0.0000 0.0000 0.5973
Ho: 0.0000 0.5973 0.0000
In: 0.5000 0.0001 0.2650
In: 0.5000 0.2650 0.0001
In: 0.5000 0.7352 0.7352
Er: 0.0000 0.4025 0.4025

=====

Record 3
VASP calculation (GGA-PBE) on a relaxed structure of MgGaFe2.

Calculated values
* total moment: 16.709 μB/cell
* calculated total energy: -5.20 eV/atom

a b c (Å): 6.0640 6.0640 6.0640
angles (deg): 90.00 90.00 90.00
Site moments in Bohr magnetons follow the coordinates.
Element x y z (fractional)
Mg: 0.5000 0.5000 0.0000  -0.04
Mg: 0.5000 0.5000 0.5000  -0.04
Mg: 0.0000 0.5000 0.5000  -0.03
Mg: 0.5000 0.0000 0.5000  -0.03
Fe: 0.7699 0.2301 0.2301  2.20
Fe: 0.7699 0.2301 0.7699  2.19
Fe: 0.7699 0.7699 0.2301  2.20
Fe: 0.2301 0.7699 0.7699  2.20
Fe: 0.7699 0.7699 0.7699  2.21
Fe: 0.2301 0.2301 0.2301  2.21
Fe: 0.2301 0.2301 0.7699  2.20
Fe: 0.2301 0.7699 0.2301  2.19
Ga: 0.0000 0.0000 0.5000  -0.09
Ga: 0.0000 0.0000 0.0000  -0.12
Ga: 0.5000 0.0000 0.0000  -0.11
Ga: 0.0000 0.5000 0.0000  -0.10

=====

Record 4
VASP calculation (GGA-PBE) on a relaxed structure of Sc3Zn11.

Calculated values
* total moment: 0.009 μB/cell
* calculated total energy: -2.62 eV/atom
* formation enthalpy at 0 K: -0.27 eV/atom

a b c (Å): 7.8325 7.8325 7.8325
angles (deg): 148.86 109.83 78.75
Element x y z (fractional)
Sc: 0.0000 0.0000 0.0000
Sc: 0.7088 0.7088 0.0000
Sc: 0.2912 0.2912 0.0000
Zn: 0.5000 0.0000 0.5000
Zn: 0.0218 0.6568 0.3651
Zn: 0.6776 0.5000 0.1776
Zn: 0.9782 0.3432 0.6349
Zn: 0.3224 0.5000 0.8224
Zn: 0.1414 0.8620 0.2795
Zn: 0.8586 0.1380 0.7205
Zn: 0.7083 0.3432 0.3651
Zn: 0.5825 0.8620 0.7205
Zn: 0.4175 0.1380 0.2795
Zn: 0.2917 0.6568 0.6349

=====

Record 5
VASP calculation (GGA-PBE) on a relaxed structure of ZnFeWAu.

Calculated values
* total moment: 1.533 μB/cell
* relative energy among the computed polymorphs: 0.107 eV/atom
* calculated total energy: -5.96 eV/atom
* formation enthalpy at 0 K: 0.49 eV/atom

a b c (Å): 4.3980 4.3980 4.3980
angles (deg): 60.00 60.00 60.00
Element x y z (fractional)
Au: 0.5000 0.5000 0.5000
W: 0.2500 0.2500 0.2500
Fe: 0.7500 0.7500 0.7500
Zn: 0.0000 0.0000 0.0000

=====

Record 6
VASP calculation (GGA-PBE) on a relaxed structure of TbYBrNCl2.

Calculated values
* total moment: 0.006 μB/cell
* relative energy among the computed polymorphs: 0.005 eV/atom
* calculated total energy: -6.16 eV/atom

a b c (Å): 8.9094 8.9094 11.0355
angles (deg): 122.72 122.72 24.95
Element x y z (fractional)
Br: 0.9558 0.9558 0.2625
Br: 0.0442 0.0442 0.7375
Tb: 0.8634 0.8634 0.7061
Tb: 0.1366 0.1366 0.2939
Cl: 0.7898 0.7898 0.8838
Cl: 0.3273 0.3273 0.4849
Cl: 0.6727 0.6727 0.5151
Cl: 0.2102 0.2102 0.1162
N: 0.4255 0.4255 0.8415
N: 0.5745 0.5745 0.1585
Y: 0.5795 0.5795 0.9597
Y: 0.4205 0.4205 0.0403

=====

Record 7
VASP calculation (GGA-PBE) on a relaxed structure of ErFeSi2Ir.

Calculated values
* total moment: 0.004 μB/cell
* calculated total energy: -7.41 eV/atom

a b c (Å): 5.6127 5.6127 5.6127
angles (deg): 138.06 138.06 60.81
Element x y z (fractional)
Si: 0.3742 0.3742 0.0000
Si: 0.6259 0.6259 0.0000
Fe: 0.7500 0.2500 0.5000
Er: 0.0000 0.0000 0.0000
Ir: 0.2500 0.7500 0.5000

=====

Record 8
VASP calculation (GGA-PBE) on a relaxed structure of Pa.

Calculated values
* total moment: 0.006 μB/cell
* relative energy among the computed polymorphs: 0.021 eV/atom
* calculated total energy: -9.47 eV/atom
* formation enthalpy at 0 K: 0.02 eV/atom

a b c (Å): 3.2179 3.2179 8.5640
angles (deg): 79.17 100.83 120.00
Element x y z (fractional)
Pa: 0.0000 0.0000 0.0000
Pa: 0.2225 0.7775 0.6675
Pa: 0.7775 0.2225 0.3325

=====

Record 9
VASP calculation (GGA-PBE) on a relaxed structure of Sr2Al4PdAu.

Calculated values
* calculated total energy: -3.92 eV/atom

a b c (Å): 7.4236 6.1112 6.1112
angles (deg): 41.06 90.00 90.00
Element x y z (fractional)
Al: 0.1951 0.1723 0.1723
Al: 0.8049 0.1723 0.1723
Al: 0.3145 0.8276 0.8276
Al: 0.6855 0.8276 0.8276
Sr: 0.5000 0.5502 0.5502
Sr: 0.0000 0.4479 0.4479
Pd: 0.5000 0.2790 0.2790
Au: 0.0000 0.7231 0.7231

=====

Record 10
VASP calculation (GGA-PBE) on a relaxed structure of BeRePd2.

Calculated values
* total moment: 0.198 μB/cell
* calculated total energy: -6.37 eV/atom

a b c (Å): 4.2448 4.2448 4.2448
angles (deg): 60.00 60.00 60.00
Site moments in Bohr magnetons follow the coordinates.
Element x y z (fractional)
Be: 0.5000 0.5000 0.5000  0.01
Pd: 0.0000 0.0000 0.0000  0.03
Pd: 0.7500 0.7500 0.7500  0.00
Re: 0.2500 0.2500 0.2500  0.14

=====

Record 11
VASP calculation (GGA-PBE) on a relaxed structure of Cs4OsS4.

Calculated values
* total moment: 2.001 μB/cell
* calculated total energy: -4.14 eV/atom

a b c (Å): 6.9771 6.9771 7.2763
angles (deg): 100.04 100.04 69.63
Site moments in Bohr magnetons follow the coordinates.
Element x y z (fractional)
Cs: 0.3752 0.3752 0.1608  0.01
Cs: 0.1771 0.1771 0.6222  0.01
Cs: 0.6248 0.6248 0.8392  0.01
Cs: 0.8229 0.8229 0.3778  0.01
S: 0.8978 0.3081 0.1943  0.07
S: 0.6919 0.1022 0.8057  0.06
S: 0.3081 0.8978 0.1943  0.06
S: 0.1022 0.6919 0.8057  0.07
Os: 0.0000 0.0000 0.0000  1.26

=====

Record 12
VASP calculation (GGA-PBE) on a relaxed structure of LuThU.

Calculated values
* total moment: 5.103 μB/cell
* relative energy among the computed polymorphs: 0.000 eV/atom
* calculated total energy: -6.57 eV/atom
* formation enthalpy at 0 K: 1.17 eV/atom

a b c (Å): 5.1739 5.1739 5.1739
angles (deg): 60.00 60.00 60.00
Element x y z (fractional)
Th: 0.7500 0.7500 0.7500
U: 0.0000 0.0000 0.0000
Lu: 0.2500 0.2500 0.2500

=====

Record 13
VASP calculation (GGA-PBE) on a relaxed structure of NbGeBi.

Calculated values
* total moment: 0.004 μB/cell
* calculated total energy: -5.60 eV/atom

a b c (Å): 4.6728 4.6728 4.6728
angles (deg): 60.00 60.00 60.00
Element x y z (fractional)
Nb: 0.7500 0.7500 0.7500
Ge: 0.0000 0.0000 0.0000
Bi: 0.2500 0.2500 0.2500

=====

Record 14
VASP calculation (GGA-PBE) on a relaxed structure of CsZrHg3O4.

Calculated values
* total moment: 0.001 μB/cell
* calculated total energy: -4.46 eV/atom

a b c (Å): 6.1058 6.1058 6.1058
angles (deg): 90.00 90.00 90.00
Element x y z (fractional)
O: 0.6915 0.6915 0.3085
O: 0.3085 0.3085 0.3085
O: 0.6915 0.3085 0.6915
O: 0.3085 0.6915 0.6915
Hg: 0.5000 0.5000 0.0000
Hg: 0.0000 0.5000 0.5000
Hg: 0.5000 0.0000 0.5000
Cs: 0.0000 0.0000 0.0000
Zr: 0.5000 0.5000 0.5000

=====

Record 15
VASP calculation (GGA-PBE) on a relaxed structure of ZrInAgPd.

Calculated values
* total moment: 0.003 μB/cell
* relative energy among the computed polymorphs: 0.130 eV/atom
* calculated total energy: -5.12 eV/atom

a b c (Å): 4.7613 4.7613 4.7613
angles (deg): 60.00 60.00 60.00
Element x y z (fractional)
Zr: 0.7500 0.7500 0.7500
In: 0.5000 0.5000 0.5000
Pd: 0.0000 0.0000 0.0000
Ag: 0.2500 0.2500 0.2500

=====

Record 16
VASP calculation (GGA-PBE) on a relaxed structure of TaCdAs.

Calculated values
* total moment: 1.239 μB/cell
* relative energy among the computed polymorphs: 0.621 eV/atom
* calculated total energy: -4.57 eV/atom

a b c (Å): 4.5905 4.5905 4.5905
angles (deg): 60.00 60.00 60.00
Element x y z (fractional)
As: 0.2500 0.2500 0.2500
Ta: 0.7500 0.7500 0.7500
Cd: 0.0000 0.0000 0.0000

=====

Record 17
VASP calculation (GGA-PBE) on a relaxed structure of Na4ZnP4H16C2N2O16.

Calculated values
* calculated total energy: -5.68 eV/atom

a b c (Å): 5.5002 6.0798 12.2254
angles (deg): 92.27 93.13 93.76
Element x y z (fractional)
Na: 0.5140 0.0834 0.3114
Na: 0.1084 0.0963 0.1099
Na: 0.8916 0.9037 0.8901
Na: 0.4860 0.9166 0.6886
H: 0.9084 0.2489 0.5655
H: 0.0916 0.7511 0.4345
H: 0.3624 0.6507 0.9039
H: 0.0840 0.4590 0.7827
H: 0.6376 0.3493 0.0961
H: 0.9160 0.5410 0.2173
H: 0.8061 0.6468 0.0526
H: 0.7202 0.3120 0.9733
H: 0.6416 0.8239 0.1010
H: 0.1939 0.3532 0.9474
H: 0.8008 0.7226 0.3767
H: 0.3584 0.1761 0.8990
H: 0.0014 0.1046 0.6799
H: 0.2798 0.6880 0.0267
H: 0.1992 0.2774 0.6233
H: 0.9986 0.8954 0.3201
C: 0.9557 0.4447 0.7106
C: 0.0442 0.5553 0.2894
N: 0.9858 0.7436 0.3603
N: 0.0142 0.2564 0.6397
O: 0.7909 0.3162 0.4377
O: 0.0587 0.8788 0.7283
O: 0.7530 0.7395 0.5737
O: 0.5044 0.3168 0.6450
O: 0.2470 0.2605 0.4263
O: 0.9413 0.1212 0.2717
O: 0.2063 0.1903 0.9379
O: 0.4956 0.6832 0.3550
O: 0.5734 0.6180 0.8052
O: 0.3621 0.7932 0.1664
O: 0.2091 0.6838 0.5623
O: 0.7937 0.8097 0.0621
O: 0.6379 0.2068 0.8336
O: 0.4266 0.3820 0.1948
O: 0.2191 0.6433 0.9506
O: 0.7809 0.3567 0.0494
P: 0.0054 0.2998 0.3622
P: 0.9946 0.7002 0.6378
P: 0.3552 0.6008 0.2452
P: 0.6448 0.3992 0.7548
Zn: 0.5000 0.5000 0.5000

=====

Record 18
VASP calculation (GGA-PBE) on a relaxed structure of RbMgAsPt.

Calculated values
* total moment: 0.002 μB/cell
* relative energy among the computed polymorphs: 0.155 eV/atom
* calculated total energy: -3.05 eV/atom

a b c (Å): 4.9805 4.9805 4.9805
angles (deg): 60.00 60.00 60.00
Element x y z (fractional)
Pt: 0.2500 0.2500 0.2500
As: 0.0000 0.0000 0.0000
Rb: 0.5000 0.5000 0.5000
Mg: 0.7500 0.7500 0.7500